Compound: PmTmAu4
Source: the Alexandria database
Functional: PBE
Structure: optimized geometry

Properties
ΔH_f (0 K) = -0.833 eV/atom
spin magnetization = 0.0 μB per formula unit
V = 129.9 Å³ per cell

abc: 3.763 5.273 7.547
angles: 80.41 75.60 111.00
Fractional positions:
Pm 0.501 0.497 0.998
Tm 0.001 0.997 0.498
Au 0.657 0.991 0.179
Au 0.346 0.004 0.817
Au 0.176 0.506 0.657
Au 0.827 0.489 0.339